1) Entry from Alexandria via LeMat-Bulk: an optimized crystal structure of Ag2AsBr (PBE).

SG: I-42d
DOS(E_F): 1.02 states/eV/f.u.
mass density: 5.5 g/cm3
total moment: 0.000 μB/atom

```
Ag2AsBr
1.0
6.555 0.000 0.000
0.000 6.555 0.000
0.000 0.000 10.338
Ag As Br
8 4 4
Cartesian
1.434 1.639 1.292 Ag
1.639 4.712 3.877 Ag
1.639 5.121 9.045 Ag
1.844 1.639 6.461 Ag
4.712 4.916 6.461 Ag
4.916 1.434 9.045 Ag
4.916 1.844 3.877 Ag
5.121 4.916 1.292 Ag
0.000 0.000 0.000 As
0.000 3.278 2.584 As
3.278 0.000 7.753 As
3.278 3.278 5.169 As
0.000 0.000 5.169 Br
0.000 3.278 7.753 Br
3.278 0.000 2.584 Br
3.278 3.278 0.000 Br
```

=====

2) Entry from Alexandria via LeMat-Bulk: an optimized crystal structure of Ag2AsBr (PBE).

SG: R-3m
DOS(E_F): 1.25 states/eV/f.u.
mass density: 7.0 g/cm3
total moment: 0.000 μB/atom

```
Ag2AsBr
1.0
3.695 0.000 0.000
-1.848 3.200 0.000
0.000 0.000 22.207
Ag As Br
6 3 3
Cartesian
0.000 0.000 5.387 Ag
0.000 0.000 16.819 Ag
0.000 2.134 9.417 Ag
0.000 2.134 20.192 Ag
1.848 1.067 2.015 Ag
1.848 1.067 12.790 Ag
0.000 0.000 11.103 As
0.000 2.134 3.701 As
1.848 1.067 18.506 As
0.000 0.000 0.000 Br
0.000 2.134 14.804 Br
1.848 1.067 7.402 Br
```

=====

Order from most stable to least stable according to the calculation: 2), 1)

=====

1) Entry from Alexandria via LeMat-Bulk: an optimized crystal structure of Ag2AsBr (PBE).

SG: Cmmm
DOS(E_F): 1.03 states/eV/f.u.
mass density: 7.2 g/cm3
total moment: 0.000 μB/atom

```
Ag2AsBr
1.0
4.183 0.000 0.000
0.000 5.325 0.000
0.000 0.000 7.655
Ag As Br
4 2 2
Cartesian
0.000 0.000 1.759 Ag
0.000 0.000 5.896 Ag
2.092 2.663 1.759 Ag
2.092 2.663 5.896 Ag
0.000 2.663 0.000 As
2.092 0.000 0.000 As
0.000 2.663 3.827 Br
2.092 0.000 3.827 Br
```

=====

2) Entry from Alexandria via LeMat-Bulk: an optimized crystal structure of Ag2AsBr (PBE).

SG: I4/mmm
DOS(E_F): 1.54 states/eV/f.u.
mass density: 7.3 g/cm3
total moment: 0.000 μB/atom

```
Ag2AsBr
1.0
4.416 0.000 0.000
0.000 4.416 0.000
0.000 0.000 8.640
Ag As Br
4 2 2
Cartesian
0.000 2.208 2.160 Ag
0.000 2.208 6.480 Ag
2.208 0.000 2.160 Ag
2.208 0.000 6.480 Ag
0.000 0.000 0.000 As
2.208 2.208 4.320 As
0.000 0.000 4.320 Br
2.208 2.208 0.000 Br
```

=====

3) Entry from Alexandria via LeMat-Bulk: an optimized crystal structure of Ag2AsBr (PBE).

SG: Fm-3m
DOS(E_F): 1.76 states/eV/f.u.
mass density: 7.1 g/cm3
total moment: 0.484 μB/atom

```
Ag2AsBr
1.0
7.028 0.000 0.000
0.000 7.028 0.000
0.000 0.000 7.028
Ag As Br
8 4 4
Cartesian
1.757 1.757 1.757 Ag
1.757 1.757 5.271 Ag
1.757 5.271 1.757 Ag
1.757 5.271 5.271 Ag
5.271 1.757 1.757 Ag
5.271 1.757 5.271 Ag
5.271 5.271 1.757 Ag
5.271 5.271 5.271 Ag
0.000 0.000 0.000 As
0.000 3.514 3.514 As
3.514 0.000 3.514 As
3.514 3.514 0.000 As
0.000 0.000 3.514 Br
0.000 3.514 0.000 Br
3.514 0.000 0.000 Br
3.514 3.514 3.514 Br
```

=====

Order from most stable to least stable according to the calculation: 1), 2), 3)

=====

1) Entry from Alexandria via LeMat-Bulk: an optimized crystal structure of Ag2AsBr5 (PBE).

SG: I4
DOS(E_F): 0.00 states/eV/f.u.
mass density: 3.1 g/cm3
total moment: 0.000 μB/atom

```
Ag2AsBr5
1.0
8.142 0.000 0.000
0.000 8.142 0.000
0.000 0.000 11.260
Ag As Br
4 2 10
Cartesian
0.000 4.071 0.000 Ag
0.000 4.071 5.630 Ag
4.071 0.000 0.000 Ag
4.071 0.000 5.630 Ag
0.000 0.000 5.328 As
4.071 4.071 10.958 As
0.000 0.000 2.976 Br
1.641 6.003 5.638 Br
1.932 2.430 0.008 Br
2.139 1.641 5.638 Br
2.430 6.211 0.008 Br
4.071 4.071 8.606 Br
5.712 1.932 0.008 Br
6.003 6.501 5.638 Br
6.211 5.712 0.008 Br
6.501 2.139 5.638 Br
```

=====

2) Entry from Alexandria via LeMat-Bulk: an optimized crystal structure of Ag2AsBr5 (PBE).

SG: P1
DOS(E_F): 0.00 states/eV/f.u.
mass density: 3.9 g/cm3
total moment: 0.000 μB/atom

```
Ag2AsBr5
1.0
6.262 0.000 0.000
2.537 6.794 0.000
2.801 -0.957 6.937
Ag As Br
2 1 5
Cartesian
0.000 0.000 0.000 Ag
3.161 3.637 2.767 Ag
8.011 2.665 6.596 As
4.418 5.734 1.432 Br
4.908 1.920 1.788 Br
7.704 4.314 4.570 Br
8.370 0.688 5.017 Br
7.560 4.105 0.056 Br
```

=====

Order from most stable to least stable according to the calculation: 2), 1)

=====

1) Entry from Alexandria via LeMat-Bulk: an optimized crystal structure of CaAgAsBr2 (PBE).

SG: P4/mmm
DOS(E_F): 3.14 states/eV/f.u.
mass density: 4.3 g/cm3
total moment: 0.253 μB/atom

```
CaAgAsBr2
1.0
5.358 0.000 0.000
0.000 5.358 0.000
0.000 0.000 5.161
Ca Ag As Br
1 1 1 2
Cartesian
0.000 0.000 0.000 Ca
2.679 2.679 2.581 Ag
2.679 2.679 0.000 As
0.000 2.679 2.581 Br
2.679 0.000 2.581 Br
```

=====

2) Entry from Alexandria via LeMat-Bulk: an optimized crystal structure of CaAgAsBr2 (PBE).

SG: P4/mmm
DOS(E_F): 1.39 states/eV/f.u.
mass density: 3.5 g/cm3
total moment: 0.401 μB/atom

```
CaAgAsBr2
1.0
5.533 0.000 0.000
0.000 5.533 0.000
0.000 0.000 5.938
Ca Ag As Br
1 1 1 2
Cartesian
0.000 0.000 0.000 Ca
2.766 2.766 2.969 Ag
0.000 0.000 2.969 As
0.000 2.766 0.000 Br
2.766 0.000 0.000 Br
```

=====

Order from most stable to least stable according to the calculation: 1), 2)